1.
This record from Alexandria via LeMat-Bulk describes a geometry-optimized BaMnTeRh2 structure. The functional is PBE.

E ... -3.84 eV/atom
Space group ... P4/mmm (123)
D(E_F) ... 1.791 states/eV/atom

Geometry as CIF:
```
data_BaMnTeRh2
_space_group_name_H-M_alt 'P 1'
_space_group_IT_number 1
_cell_length_a 5.106
_cell_length_b 4.863
_cell_length_c 5.106
_cell_angle_alpha 90.00
_cell_angle_beta 90.00
_cell_angle_gamma 90.00
loop_
_space_group_symop_operation_xyz
'x,y,z'
loop_
_atom_site_label
_atom_site_fract_x
_atom_site_fract_y
_atom_site_fract_z
Te1 0.500 0.500 0.500
Rh1 0.000 0.000 0.500
Rh2 0.500 0.000 0.000
Ba1 0.000 0.000 0.000
Mn1 0.000 0.500 0.000
```

2.
This record from Alexandria via LeMat-Bulk describes a geometry-optimized Ba2YMnRh structure. The functional is PBE.

ΔH_f (0 K) ... 0.62 eV/atom
Space group ... P4/mmm (123)
D(E_F) ... 1.365 states/eV/atom

Geometry as CIF:
```
data_Ba2YMnRh
_space_group_name_H-M_alt 'P 1'
_space_group_IT_number 1
_cell_length_a 6.230
_cell_length_b 4.564
_cell_length_c 6.230
_cell_angle_alpha 90.00
_cell_angle_beta 90.00
_cell_angle_gamma 90.00
loop_
_space_group_symop_operation_xyz
'x,y,z'
loop_
_atom_site_label
_atom_site_fract_x
_atom_site_fract_y
_atom_site_fract_z
Y1 0.500 0.500 0.500
Mn1 0.000 0.000 0.000
Rh1 0.000 0.500 0.000
Ba1 0.000 0.000 0.500
Ba2 0.500 0.000 0.000
```